Entry from the Alexandria database: crystalline AlIn2C at its relaxed geometry (PBE).

a = 4.7737 Å, b = 4.7737 Å, c = 4.7737 Å
α = 60.00°, β = 60.00°, γ = 60.00°
With the nearest neighbours (Å) after each atom.
Sites, in units of the cell vectors:
1 In 0.2500 0.2500 0.2500  4 Al 2.92, 4 C 2.92
2 In 0.7500 0.7500 0.7500  4 Al 2.92, 4 C 2.92
3 Al 0.5000 0.5000 0.5000  8 In 2.92
4 C 0.0000 0.0000 0.0000  8 In 2.92

Formation enthalpy at 0 K in eV/f.u.: 5.3
M_tot in Bohr magnetons per cell: 0.0
DFT total energy in eV per formula unit: -13.156
SG: Fm-3m, No. 225


Entry from the Alexandria database: crystalline Tl2SnGeTe4 at its relaxed geometry (PBE).

a = 8.9642 Å, b = 8.9642 Å, c = 8.9680 Å
α = 120.02°, β = 120.02°, γ = 89.83°
With the nearest neighbours (Å) after each atom.
Sites, in units of the cell vectors:
1 Te 0.7565 0.7435 0.5228  2 Ge 3.03, 1 Sn 3.09, 3 Tl 3.25-3.32
2 Te 0.2435 0.2565 0.4772  2 Ge 3.03, 1 Sn 3.09, 3 Tl 3.25-3.32
3 Te 0.7743 0.2517 0.0129  1 Ge 3.02, 2 Sn 3.10, 3 Tl 3.26-3.31
4 Te 0.2258 0.7483 0.9871  1 Ge 3.02, 2 Sn 3.10, 3 Tl 3.26-3.31
5 Te 0.7517 0.2742 0.5129  1 Ge 3.02, 2 Sn 3.10, 3 Tl 3.26-3.31
6 Te 0.2483 0.7257 0.4871  1 Ge 3.02, 2 Sn 3.10, 3 Tl 3.26-3.31
7 Te 0.2435 0.2565 0.0228  2 Ge 3.03, 1 Sn 3.09, 3 Tl 3.25-3.32
8 Te 0.7565 0.7435 0.9772  2 Ge 3.03, 1 Sn 3.09, 3 Tl 3.25-3.32
9 Sn 0.0000 0.5000 0.0000  6 Te 3.09-3.10
10 Sn 0.0000 0.5000 0.5000  6 Te 3.09-3.10
11 Ge 0.0000 0.0000 0.0000  6 Te 3.02-3.03
12 Ge 0.5000 0.5000 0.5000  6 Te 3.02-3.03
13 Tl 0.0000 0.0000 0.5000  6 Te 3.31-3.32
14 Tl 0.5000 0.5000 0.0000  6 Te 3.31-3.32
15 Tl 0.5000 0.0000 0.5000  6 Te 3.25-3.26
16 Tl 0.5000 0.0000 0.0000  6 Te 3.25-3.26

M_tot in Bohr magnetons per cell: 0.0
DFT total energy in eV per formula unit: -27.354
Raw formation energy in kcal/mol of atoms: -4.13
SG: Imma, No. 74


Entry from the Alexandria database: crystalline KRb3Ni2Cl9 at its relaxed geometry (PBE).

a = 7.0589 Å, b = 7.0589 Å, c = 9.7590 Å
α = 90.00°, β = 90.00°, γ = 120.00°
With the nearest neighbours (Å) after each atom.
Sites, in units of the cell vectors:
1 Cl 0.6445 0.8222 0.2815  1 Ni 2.29
2 Cl 0.8222 0.1778 0.7185  1 Ni 2.29
3 Cl 0.0000 0.5000 0.0000  2 Ni 2.52
4 Cl 0.8222 0.6445 0.7185  1 Ni 2.29
5 Cl 0.1778 0.3555 0.2815  1 Ni 2.29
6 Cl 0.3555 0.1778 0.7185  1 Ni 2.29
7 Cl 0.1778 0.8222 0.2815  1 Ni 2.29
8 Cl 0.5000 0.0000 0.0000  2 Ni 2.52
9 Cl 0.5000 0.5000 0.0000  2 Ni 2.52
10 K 0.0000 0.0000 0.5000  6 Cl 3.04
11 Rb 0.3333 0.6667 0.7232  9 Cl 3.38-3.53
12 Rb 0.0000 0.0000 0.0000  12 Cl 3.50-3.53
13 Rb 0.6667 0.3333 0.2768  9 Cl 3.38-3.53
14 Ni 0.6667 0.3333 0.8486  6 Cl 2.29-2.52
15 Ni 0.3333 0.6667 0.1514  6 Cl 2.29-2.52

M_tot in Bohr magnetons per cell: 3.1
DFT total energy in eV per formula unit: -50.958
Raw formation energy in kcal/mol of atoms: -28.87
SG: P-3m1, No. 164


Entry from the Alexandria database: crystalline TmPu2Fe at its relaxed geometry (PBE).

a = 3.2839 Å, b = 3.2839 Å, c = 8.6510 Å
α = 90.00°, β = 90.00°, γ = 90.00°
With the nearest neighbours (Å) after each atom.
Sites, in units of the cell vectors:
1 Pu 0.0000 0.0000 0.1943  4 Fe 2.87
2 Pu 0.0000 0.0000 0.8057  4 Fe 2.87
3 Tm 0.5000 0.5000 0.5000  4 Tm 3.28, 8 Pu 3.52
4 Fe 0.5000 0.5000 0.0000  8 Pu 2.87

Formation enthalpy at 0 K in eV/f.u.: 0.5
Polymorph energy (0 for the lowest one) in meV/atom: 0
M_tot in Bohr magnetons per cell: 9.5
DFT total energy in eV per formula unit: -41.113
SG: P4/mmm, No. 123


Entry from the Alexandria database: crystalline TaIr2Se at its relaxed geometry (PBE).

a = 8.8283 Å, b = 8.8283 Å, c = 8.8283 Å
α = 19.03°, β = 19.03°, γ = 19.03°
With the nearest neighbours (Å) after each atom.
Sites, in units of the cell vectors:
1 Se 0.5016 0.5016 0.5016  3 Ir 2.67, 3 Ta 2.76, 6 Se 2.92
2 Ir 0.9999 0.9999 0.9999  3 Ta 2.76, 9 Ir 2.79-2.92
3 Ir 0.2477 0.2477 0.2477  3 Se 2.67, 9 Ir 2.79-2.92
4 Ta 0.7508 0.7508 0.7508  3 Se 2.76, 3 Ir 2.76, 6 Ta 2.92

M_tot in Bohr magnetons per cell: 0.0
DFT total energy in eV per formula unit: -32.575
Raw formation energy in kcal/mol of atoms: 2.79
SG: R3m, No. 160


Entry from the Alexandria database: crystalline La3Pm6Y2Tm at its relaxed geometry (PBE).

a = 6.3277 Å, b = 6.3277 Å, c = 12.0846 Å
α = 95.02°, β = 95.02°, γ = 120.05°
With the nearest neighbours (Å) after each atom.
Sites, in units of the cell vectors:
1 Y 0.6666 0.3334 0.0000  6 Pm 3.59, 3 Tm 3.65, 3 Y 3.65
2 Y 0.3334 0.6666 0.0000  6 Pm 3.59, 3 Tm 3.65, 3 Y 3.65
3 Pm 0.2509 0.2509 0.7559  1 Tm 3.59, 2 Y 3.59, 6 Pm 3.64-3.66, 3 La 3.70-3.71
4 Pm 0.5867 0.9187 0.7561  1 Tm 3.58, 2 Y 3.59, 6 Pm 3.64-3.66, 3 La 3.70-3.71
5 Pm 0.4133 0.0813 0.2439  1 Tm 3.58, 2 Y 3.59, 6 Pm 3.64-3.66, 3 La 3.70-3.71
6 Pm 0.9187 0.5867 0.7561  1 Tm 3.58, 2 Y 3.59, 6 Pm 3.64-3.66, 3 La 3.70-3.71
7 Pm 0.7491 0.7491 0.2441  1 Tm 3.59, 2 Y 3.59, 6 Pm 3.64-3.66, 3 La 3.70-3.71
8 Pm 0.0813 0.4133 0.2439  1 Tm 3.58, 2 Y 3.59, 6 Pm 3.64-3.66, 3 La 3.70-3.71
9 La 0.5000 0.5000 0.5000  6 La 3.65, 6 Pm 3.70-3.71
10 La 0.1667 0.8333 0.5000  6 La 3.65-3.66, 6 Pm 3.70-3.71
11 La 0.8333 0.1667 0.5000  6 La 3.65-3.66, 6 Pm 3.70-3.71
12 Tm 0.0000 0.0000 0.0000  6 Pm 3.58-3.59, 6 Y 3.65

Formation enthalpy at 0 K in eV/f.u.: 0.2
M_tot in Bohr magnetons per cell: 0.0
DFT total energy in eV per formula unit: -60.443
SG: C2/m, No. 12


Entry from the Alexandria database: crystalline TaIrBr2 at its relaxed geometry (PBE).

a = 3.3889 Å, b = 5.1617 Å, c = 6.8830 Å
α = 70.27°, β = 90.00°, γ = 90.00°
With the nearest neighbours (Å) after each atom.
Sites, in units of the cell vectors:
1 Ta 0.5000 0.8021 0.6435  2 Ir 2.40, 1 Br 2.51
2 Br 0.5000 0.2499 0.3476  1 Ta 2.51
3 Br 0.0000 0.9554 0.9023  2 Ta 2.76, 1 Ir 2.83
4 Ir 0.0000 0.4926 0.6066  2 Ta 2.40

Polymorph energy (0 for the lowest one) in meV/atom: 296
M_tot in Bohr magnetons per cell: 0.0
DFT total energy in eV per formula unit: -24.614
Raw formation energy in kcal/mol of atoms: -3.20
SG: Pm, No. 6


Entry from the Alexandria database: crystalline CdSbRu2 at its relaxed geometry (PBE).

a = 3.2246 Å, b = 4.5588 Å, c = 4.5588 Å
α = 90.00°, β = 90.00°, γ = 90.00°
With the nearest neighbours (Å) after each atom.
Sites, in units of the cell vectors:
1 Cd 0.5000 0.0000 0.5000  8 Ru 2.79
2 Ru 0.0000 0.5000 0.5000  4 Cd 2.79, 4 Sb 2.79
3 Ru 0.0000 0.0000 0.0000  4 Cd 2.79, 4 Sb 2.79
4 Sb 0.5000 0.5000 0.0000  8 Ru 2.79

M_tot in Bohr magnetons per cell: 0.0
DFT total energy in eV per formula unit: -22.878
Raw formation energy in kcal/mol of atoms: 4.10
SG: P4/mmm, No. 123


Entry from the Alexandria database: crystalline RbSrGa4 at its relaxed geometry (PBE).

a = 5.9549 Å, b = 5.9549 Å, c = 5.9549 Å
α = 60.00°, β = 60.00°, γ = 60.00°
With the nearest neighbours (Å) after each atom.
Sites, in units of the cell vectors:
1 Ga 0.1234 0.6255 0.6255  6 Ga 2.96-2.99
2 Ga 0.6255 0.6255 0.6255  6 Ga 2.96-2.99
3 Ga 0.6255 0.6255 0.1234  6 Ga 2.96-2.99
4 Ga 0.6255 0.1234 0.6255  6 Ga 2.96-2.99
5 Rb 0.2500 0.2500 0.2500  12 Ga 3.49, 4 Sr 3.65
6 Sr 0.0000 0.0000 0.0000  12 Ga 3.49, 4 Rb 3.65

Formation enthalpy at 0 K in eV/f.u.: -1.1
M_tot in Bohr magnetons per cell: 0.0
DFT total energy in eV per formula unit: -15.835
SG: F-43m, No. 216


Entry from the Alexandria database: crystalline Ce2PmNd3P6 at its relaxed geometry (PBE).

a = 7.1546 Å, b = 7.1546 Å, c = 7.1570 Å
α = 99.59°, β = 99.59°, γ = 120.00°
With the nearest neighbours (Å) after each atom.
Sites, in units of the cell vectors:
1 Nd 0.5000 0.5000 0.5000  6 P 2.92-2.96
2 Nd 0.8341 0.1659 0.5000  6 P 2.93-2.96
3 Nd 0.1659 0.8341 0.5000  6 P 2.93-2.96
4 P 0.9189 0.5814 0.7568  2 Ce 2.88, 1 Pm 2.92, 3 Nd 2.93-2.96
5 P 0.2562 0.2562 0.7563  2 Ce 2.89, 1 Pm 2.92, 3 Nd 2.92-2.95
6 P 0.0811 0.4186 0.2432  2 Ce 2.88, 1 Pm 2.92, 3 Nd 2.93-2.96
7 P 0.5814 0.9189 0.7568  2 Ce 2.88, 1 Pm 2.92, 3 Nd 2.93-2.96
8 P 0.4186 0.0811 0.2432  2 Ce 2.88, 1 Pm 2.92, 3 Nd 2.93-2.96
9 P 0.7438 0.7438 0.2437  2 Ce 2.89, 1 Pm 2.92, 3 Nd 2.92-2.95
10 Ce 0.3331 0.6669 0.0000  6 P 2.88-2.89
11 Ce 0.6669 0.3331 0.0000  6 P 2.88-2.89
12 Pm 0.0000 0.0000 0.0000  6 P 2.92

Formation enthalpy at 0 K in eV/f.u.: -18.5
M_tot in Bohr magnetons per cell: 0.8
DFT total energy in eV per formula unit: -81.867
SG: C2/m, No. 12


Entry from the Alexandria database: crystalline CrRe2Se at its relaxed geometry (PBE).

a = 4.9620 Å, b = 4.9620 Å, c = 4.3960 Å
α = 84.64°, β = 84.64°, γ = 34.26°
With the nearest neighbours (Å) after each atom.
Sites, in units of the cell vectors:
1 Cr 0.2500 0.2500 0.2500  4 Se 2.64, 6 Re 2.64-2.94, 2 Cr 2.92
2 Se 0.7500 0.7500 0.7500  2 Re 2.50, 4 Cr 2.64
3 Re 0.9681 0.9681 0.0256  1 Se 2.50, 2 Re 2.57, 2 Cr 2.64
4 Re 0.5319 0.5319 0.4744  1 Se 2.50, 2 Re 2.57, 2 Cr 2.64

Polymorph energy (0 for the lowest one) in meV/atom: 177
M_tot in Bohr magnetons per cell: 1.3
DFT total energy in eV per formula unit: -36.459
Raw formation energy in kcal/mol of atoms: 8.91
SG: C2/m, No. 12


Please write out number 9 again, unchanged.
Entry from the Alexandria database: crystalline RbSrGa4 at its relaxed geometry (PBE).

a = 5.9549 Å, b = 5.9549 Å, c = 5.9549 Å
α = 60.00°, β = 60.00°, γ = 60.00°
With the nearest neighbours (Å) after each atom.
Sites, in units of the cell vectors:
1 Ga 0.1234 0.6255 0.6255  6 Ga 2.96-2.99
2 Ga 0.6255 0.6255 0.6255  6 Ga 2.96-2.99
3 Ga 0.6255 0.6255 0.1234  6 Ga 2.96-2.99
4 Ga 0.6255 0.1234 0.6255  6 Ga 2.96-2.99
5 Rb 0.2500 0.2500 0.2500  12 Ga 3.49, 4 Sr 3.65
6 Sr 0.0000 0.0000 0.0000  12 Ga 3.49, 4 Rb 3.65

Formation enthalpy at 0 K in eV/f.u.: -1.1
M_tot in Bohr magnetons per cell: 0.0
DFT total energy in eV per formula unit: -15.835
SG: F-43m, No. 216


> Look up the M_tot of the first one.

0.0 Bohr magnetons per cell